Entry from the Alexandria database: a crystal of P2W2O11 relaxed with PBEsol (SCAN).

Results
SG: No. 58
Offset from the most stable computed form, eV per formula unit: 0.219
Electronic total energy, eV per cell: -526.2
Energy relative to the elements, uncorrected, eV/atom: -2.291

a = 7.6804 Å, b = 7.8463 Å, c = 6.3603 Å
α = 90.00°, β = 90.00°, γ = 90.00°
Closest atoms and distances in Å follow each position.
Positions (direct):
P 0.1157 0.2464 0.0000  4 O 1.51-1.56
P 0.3843 0.7464 0.5000  4 O 1.51-1.56
P 0.6157 0.2536 0.5000  4 O 1.51-1.56
P 0.8843 0.7536 0.0000  4 O 1.51-1.56
W 0.1831 0.1586 0.5000  2 O 1.71-1.88
W 0.3169 0.6586 0.0000  2 O 1.71-1.88
W 0.6831 0.3414 0.0000  2 O 1.71-1.88
W 0.8169 0.8414 0.5000  2 O 1.71-1.88
O 0.0000 0.0000 0.5000  2 W 1.88
O 0.0616 0.3406 0.5000  1 W 1.71
O 0.0862 0.7692 0.0000  1 P 1.56
O 0.1700 0.4307 0.0000  1 P 1.51
O 0.1874 0.1466 0.1921  1 P 1.55
O 0.1874 0.1466 0.8079  1 P 1.55
O 0.3126 0.6466 0.3079  1 P 1.55
O 0.3126 0.6466 0.6921  1 P 1.55
O 0.3300 0.9307 0.5000  1 P 1.51
O 0.4138 0.2692 0.5000  1 P 1.56
O 0.4384 0.8406 0.0000  1 W 1.71
O 0.5000 0.5000 0.0000  2 W 1.88
O 0.5616 0.1594 0.0000  1 W 1.71
O 0.5862 0.7308 0.5000  1 P 1.56
O 0.6700 0.0693 0.5000  1 P 1.51
O 0.6874 0.3534 0.3079  1 P 1.55
O 0.6874 0.3534 0.6921  1 P 1.55
O 0.8126 0.8534 0.1921  1 P 1.55
O 0.8126 0.8534 0.8079  1 P 1.55
O 0.8300 0.5693 0.0000  1 P 1.51
O 0.9138 0.2308 0.0000  1 P 1.56
O 0.9384 0.6594 0.5000  1 W 1.71